[1]
Here is a relaxed GdSiPO crystal from OQMD. Energies are from GGA-PBE.

Structure (POSCAR):
```
GdSiPO
1.0
3.8468 0.0000 0.0000
0.0000 5.8047 0.0000
0.0000 0.0000 5.9408
Gd Si P O
2 2 2 2
Cartesian
0.0000 1.3559 0.0000
0.0000 4.4488 2.9704
1.9234 2.0718 2.4335
1.9234 3.7329 5.4039
1.9234 0.4558 4.0780
1.9234 5.3489 1.1076
0.0000 2.2564 2.1608
0.0000 3.5483 5.1312
```

Summary:
ρ = 5.816 Mg/m³
Final energy = -6.47 eV/atom
SG = Pmc2_1
Excess energy over the best structure of this formula in the dataset = 154 meV per atom

[2]
Here is a relaxed GdSiPO crystal from OQMD. Energies are from GGA-PBE.

Structure (POSCAR):
```
GdSiPO
1.0
3.6783 0.0000 0.0000
0.0000 5.9026 0.0000
0.0000 0.0000 6.8254
Gd Si P O
2 2 2 2
Cartesian
0.0000 1.4200 0.0000
0.0000 4.4826 3.4127
1.8391 2.2043 4.0584
1.8391 3.6983 0.6457
0.0000 1.4598 2.8484
0.0000 4.4428 6.2611
1.8391 1.3324 5.5035
1.8391 4.5701 2.0908
```

Summary:
ρ = 5.206 Mg/m³
Final energy = -6.62 eV/atom
SG = Pmc2_1
Excess energy over the best structure of this formula in the dataset = 0 meV per atom

[3]
Here is a relaxed GdSiPO crystal from OQMD. Energies are from GGA-PBE.

Structure (POSCAR):
```
GdSiPO
1.0
5.4395 0.0000 0.0000
0.0000 5.4395 0.0000
0.0000 0.0000 4.6632
Gd Si P O
2 2 2 2
Cartesian
1.3599 4.0796 0.0000
4.0796 1.3599 0.0000
1.3599 1.3599 2.2914
4.0796 4.0796 2.3718
1.3599 1.3599 4.6142
4.0796 4.0796 0.0490
1.3599 4.0796 2.3316
4.0796 1.3599 2.3316
```

Summary:
ρ = 5.592 Mg/m³
Final energy = -6.06 eV/atom
SG = P4/nmm
Excess energy over the best structure of this formula in the dataset = 558 meV per atom

[4]
Here is a relaxed SmGdPO crystal from OQMD. Energies are from GGA-PBE.

Structure (POSCAR):
```
SmGdPO
1.0
4.3417 0.0000 0.0000
0.0000 4.3417 0.0000
0.0000 0.0000 8.8229
Sm Gd P O
2 2 2 2
Cartesian
1.0854 3.2563 0.0000
3.2563 1.0854 0.0000
1.0854 1.0854 3.5109
3.2563 3.2563 5.3119
1.0854 1.0854 7.0376
3.2563 3.2563 1.7853
1.0854 3.2563 4.4114
3.2563 1.0854 4.4114
```

Summary:
ρ = 7.081 Mg/m³
Final energy = -6.79 eV/atom
SG = P4/nmm
Excess energy over the best structure of this formula in the dataset = 241 meV per atom